1.
Compound: BeAg5
Source: Alexandria
Functional: PBE
Structure: optimized geometry

Unit cell a=5.3527 b=5.3527 c=4.8003 alpha=90.00 beta=90.00 gamma=120.00
Closest atoms and distances in Å follow each position.
Sites, in units of the cell vectors:
Be (0.0000, 0.0000, 0.0000)  6 Ag 3.09
Ag (0.0000, 0.5000, 0.5000)  8 Ag 2.68-2.85
Ag (0.3333, 0.6667, 0.0000)  9 Ag 2.85-3.09, 3 Be 3.09
Ag (0.5000, 0.0000, 0.5000)  8 Ag 2.68-2.85
Ag (0.5000, 0.5000, 0.5000)  8 Ag 2.68-2.85
Ag (0.6667, 0.3333, 0.0000)  9 Ag 2.85-3.09, 3 Be 3.09

Values from the calculation:
Its total energy is -14.9 eV per cell. The calculation puts the formation energy at 0.52 eV/atom. As for the crystal system: hexagonal. As for the density of states at the Fermi level: 0.299 states/eV per atom. For the relative energy among the computed polymorphs, the calculation gives 448 meV/atom.

2.
Compound: Be3Ag4
Source: Alexandria
Functional: PBE
Structure: optimized geometry

Unit cell a=4.6312 b=4.6312 c=5.2790 alpha=90.00 beta=90.00 gamma=120.00
Closest atoms and distances in Å follow each position.
Sites, in units of the cell vectors:
Be (0.0000, 0.5000, 0.0000)  4 Be 2.32
Be (0.5000, 0.0000, 0.0000)  4 Be 2.32
Be (0.5000, 0.5000, 0.0000)  4 Be 2.32
Ag (0.0000, 0.0000, 0.2468)  2 Ag 2.61-2.67, 6 Be 2.66
Ag (0.0000, 0.0000, 0.7532)  2 Ag 2.61-2.67, 6 Be 2.66
Ag (0.3333, 0.6667, 0.5000)  9 Ag 2.67-2.99, 6 Be 2.96
Ag (0.6667, 0.3333, 0.5000)  9 Ag 2.67-2.99, 6 Be 2.96

Values from the calculation:
Its total energy is -21.2 eV per cell. The calculation puts the formation energy at 0.19 eV/atom. As for the crystal system: hexagonal. As for the density of states at the Fermi level: 0.261 states/eV per atom. For the relative energy among the computed polymorphs, the calculation gives 66 meV/atom.

3.
Compound: Be2Ag
Source: Alexandria
Functional: PBE
Structure: optimized geometry

Unit cell a=3.3603 b=3.3603 c=6.1406 alpha=90.00 beta=90.00 gamma=90.00
Closest atoms and distances in Å follow each position.
Sites, in units of the cell vectors:
Be (0.2500, 0.2500, 0.2479)  4 Be 2.27, 4 Ag 2.44
Be (0.2500, 0.7500, 0.0000)  8 Be 2.27-2.38
Be (0.7500, 0.2500, 0.0000)  8 Be 2.27-2.38
Be (0.7500, 0.7500, 0.7521)  4 Be 2.27, 4 Ag 2.44
Ag (0.2500, 0.2500, 0.6632)  9 Be 2.44-2.66
Ag (0.7500, 0.7500, 0.3368)  9 Be 2.44-2.66

Values from the calculation:
Its total energy is -19.1 eV per cell. The calculation puts the formation energy at 0.24 eV/atom. As for the crystal system: tetragonal. As for the density of states at the Fermi level: 0.352 states/eV per atom. For the relative energy among the computed polymorphs, the calculation gives 218 meV/atom.

4.
Compound: Be2Ag
Source: Alexandria
Functional: PBE
Structure: optimized geometry

Unit cell a=6.0149 b=6.0149 c=6.0149 alpha=25.90 beta=25.90 gamma=25.90
Closest atoms and distances in Å follow each position.
Sites, in units of the cell vectors:
Be (0.2145, 0.2145, 0.2145)  3 Be 2.28
Be (0.7855, 0.7855, 0.7855)  3 Be 2.28
Ag (0.0000, 0.0000, 0.0000)  6 Be 2.59, 6 Ag 2.70

Values from the calculation:
Its total energy is -9.3 eV per cell. The calculation puts the formation energy at 0.34 eV/atom. As for the crystal system: trigonal. As for the density of states at the Fermi level: 0.349 states/eV per atom. For the relative energy among the computed polymorphs, the calculation gives 315 meV/atom.

5.
Compound: Be2Ag3
Source: Alexandria
Functional: PBE
Structure: optimized geometry

Unit cell a=6.7297 b=5.2416 c=7.7898 alpha=58.34 beta=41.52 gamma=80.14
Closest atoms and distances in Å follow each position.
Sites, in units of the cell vectors:
Be (0.2665, 0.7335, 0.3252)  6 Ag 2.51-2.66, 2 Be 2.77
Be (0.5752, 0.9248, 0.5165)  6 Ag 2.51-2.66, 2 Be 2.77
Be (0.7335, 0.2665, 0.6748)  6 Ag 2.51-2.66, 2 Be 2.77
Be (0.9248, 0.5752, 0.9835)  6 Ag 2.51-2.66, 2 Be 2.77
Ag (0.1133, 0.7944, 0.0985)  4 Be 2.51-2.66, 2 Ag 2.66
Ag (0.1515, 0.2562, 0.1367)  4 Be 2.51-2.66, 2 Ag 2.66
Ag (0.2562, 0.1515, 0.4556)  4 Be 2.51-2.66, 2 Ag 2.66
Ag (0.4576, 0.4576, 0.5424)  6 Be 2.56-2.84, 6 Ag 2.82-2.85
Ag (0.7076, 0.7076, 0.7924)  6 Be 2.56-2.84, 6 Ag 2.82-2.85
Ag (0.7944, 0.1133, 0.9938)  4 Be 2.51-2.66, 2 Ag 2.66

Values from the calculation:
Its total energy is -29.7 eV per cell. The calculation puts the formation energy at 0.23 eV/atom. As for the crystal system: orthorhombic. As for the density of states at the Fermi level: 0.128 states/eV per atom. For the relative energy among the computed polymorphs, the calculation gives 0 meV/atom.

6.
Compound: BeAg2
Source: Alexandria
Functional: PBE
Structure: optimized geometry

Unit cell a=4.0879 b=4.0879 c=4.0879 alpha=60.00 beta=60.00 gamma=60.00
Closest atoms and distances in Å follow each position.
Sites, in units of the cell vectors:
Be (0.0000, 0.0000, 0.0000)  8 Ag 2.50
Ag (0.2500, 0.2500, 0.2500)  4 Be 2.50
Ag (0.7500, 0.7500, 0.7500)  4 Be 2.50

Values from the calculation:
Its total energy is -8.5 eV per cell. The calculation puts the formation energy at 0.30 eV/atom. As for the crystal system: cubic. As for the density of states at the Fermi level: 0.295 states/eV per atom.

7.
Compound: Be2Ag
Source: Alexandria
Functional: PBE
Structure: optimized geometry

Unit cell a=2.6848 b=2.6848 c=17.4821 alpha=93.01 beta=93.01 gamma=60.58
Closest atoms and distances in Å follow each position.
Sites, in units of the cell vectors:
Be (0.1200, 0.1200, 0.3804)  3 Be 2.28-2.31
Be (0.2439, 0.2439, 0.7158)  3 Be 2.28-2.31
Be (0.3222, 0.3222, 0.9529)  3 Be 2.26
Be (0.6778, 0.6778, 0.0471)  3 Be 2.26
Be (0.7561, 0.7561, 0.2842)  3 Be 2.28-2.31
Be (0.8800, 0.8800, 0.6196)  3 Be 2.28-2.31
Ag (0.3727, 0.3727, 0.1648)  6 Be 2.57-2.66, 6 Ag 2.68-2.71
Ag (0.5000, 0.5000, 0.5000)  6 Be 2.58-2.65, 6 Ag 2.68-2.71
Ag (0.6273, 0.6273, 0.8352)  6 Be 2.57-2.66, 6 Ag 2.68-2.71

Values from the calculation:
Its total energy is -27.7 eV per cell. The calculation puts the formation energy at 0.36 eV/atom. As for the crystal system: monoclinic. As for the density of states at the Fermi level: 0.258 states/eV per atom. For the relative energy among the computed polymorphs, the calculation gives 332 meV/atom.

8.
Compound: Be2Ag
Source: Alexandria
Functional: PBE
Structure: optimized geometry

Unit cell a=2.6840 b=2.6840 c=5.8760 alpha=90.00 beta=90.00 gamma=120.00
Closest atoms and distances in Å follow each position.
Sites, in units of the cell vectors:
Be (0.3333, 0.6667, 0.3579)  3 Be 2.28
Be (0.6667, 0.3333, 0.6421)  3 Be 2.28
Ag (0.0000, 0.0000, 0.0000)  6 Be 2.61, 6 Ag 2.68

Values from the calculation:
Its total energy is -9.2 eV per cell. The calculation puts the formation energy at 0.37 eV/atom. As for the crystal system: trigonal. As for the density of states at the Fermi level: 0.177 states/eV per atom. For the relative energy among the computed polymorphs, the calculation gives 349 meV/atom.

9.
Compound: BeAg2
Source: Alexandria
Functional: PBE
Structure: optimized geometry

Unit cell a=4.8514 b=4.8514 c=4.8514 alpha=105.67 beta=105.67 gamma=117.38
Closest atoms and distances in Å follow each position.
Sites, in units of the cell vectors:
Be (0.2500, 0.2500, 0.0000)  8 Ag 2.52, 2 Be 2.52
Be (0.7500, 0.7500, 0.0000)  8 Ag 2.52, 2 Be 2.52
Ag (0.1681, 0.6681, 0.8363)  4 Be 2.52, 1 Ag 2.79
Ag (0.3319, 0.1681, 0.5000)  4 Be 2.52, 1 Ag 2.79
Ag (0.6681, 0.8319, 0.5000)  4 Be 2.52, 1 Ag 2.79
Ag (0.8319, 0.3319, 0.1637)  4 Be 2.52, 1 Ag 2.79

Values from the calculation:
Its total energy is -18.3 eV per cell. The calculation puts the formation energy at 0.08 eV/atom. As for the crystal system: tetragonal. As for the density of states at the Fermi level: 0.262 states/eV per atom.

10.
Compound: Be5Ag3
Source: Alexandria
Functional: PBE
Structure: optimized geometry

Unit cell a=4.7192 b=6.2929 c=6.8385 alpha=77.15 beta=79.83 gamma=76.44
Closest atoms and distances in Å follow each position.
Sites, in units of the cell vectors:
Be (0.0000, 0.0000, 0.0000)  6 Be 2.25-2.50, 1 Ag 2.49
Be (0.0000, 0.3143, 0.7504)  4 Be 2.17-2.31
Be (0.4266, 0.5347, 0.1633)  4 Be 2.23-2.45, 2 Ag 2.39-2.43
Be (0.5925, 0.8366, 0.9903)  3 Be 2.12-2.23, 1 Ag 2.33
Be (0.6297, 0.5663, 0.8395)  5 Be 2.14-2.25
Be (0.7137, 0.0428, 0.3241)  5 Be 2.39-2.58, 2 Ag 2.53-2.58
Be (0.8359, 0.6729, 0.2337)  2 Be 2.12-2.25
Be (0.8652, 0.6920, 0.5544)  3 Be 2.15-2.36
Be (0.8711, 0.0164, 0.6725)  4 Be 2.29-2.52, 3 Ag 2.32-2.55
Be (0.8801, 0.3399, 0.0830)  6 Be 2.24-2.49, 2 Ag 2.39-2.42
Ag (0.0965, 0.6421, 0.8765)  10 Be 2.42-2.59
Ag (0.1048, 0.3018, 0.3792)  5 Be 2.39-2.65
Ag (0.2502, 0.8538, 0.3201)  5 Be 2.39-2.56
Ag (0.3958, 0.9742, 0.6714)  5 Be 2.32-2.58
Ag (0.4579, 0.2180, 0.9876)  5 Be 2.33-2.61
Ag (0.5282, 0.4350, 0.5458)  5 Be 2.49-2.72, 1 Ag 2.77

Values from the calculation:
Its total energy is -51.3 eV per cell. The calculation puts the formation energy at 0.19 eV/atom. As for the crystal system: triclinic. As for the density of states at the Fermi level: 0.208 states/eV per atom. For the relative energy among the computed polymorphs, the calculation gives 15 meV/atom.

11.
Compound: BeAgBi
Source: Alexandria
Functional: PBE
Structure: optimized geometry

Unit cell a=3.1471 b=3.8679 c=10.3819 alpha=89.94 beta=81.36 gamma=89.99
Closest atoms and distances in Å follow each position.
Sites, in units of the cell vectors:
Be (0.0000, 0.0000, 0.0000)  2 Be 2.19
Be (0.0519, 0.5004, 0.9006)  2 Be 2.19, 2 Ag 2.42-2.43
Ag (0.4610, 0.5003, 0.0806)  6 Be 2.42-2.63
Ag (0.8810, 0.0003, 0.2416)  1 Be 2.48
Bi (0.1279, 0.0011, 0.7346)  3 Be 2.58-2.72
Bi (0.2937, 0.5001, 0.4185)  4 Ag 3.08-3.09, 2 Bi 3.15

Values from the calculation:
Its total energy is -19.4 eV per cell. The calculation puts the formation energy at 0.25 eV/atom. As for the crystal system: triclinic. As for the density of states at the Fermi level: 0.399 states/eV per atom.

12.
Compound: BeAgBi3
Source: Alexandria
Functional: PBE
Structure: optimized geometry

Unit cell a=5.4997 b=5.4997 c=5.4997 alpha=90.00 beta=90.00 gamma=90.00
Closest atoms and distances in Å follow each position.
Sites, in units of the cell vectors:
Be (0.0000, 0.0000, 0.0000)  12 Bi 3.89
Ag (0.5000, 0.5000, 0.5000)  6 Bi 2.75
Bi (0.0000, 0.5000, 0.5000)  2 Ag 2.75
Bi (0.5000, 0.0000, 0.5000)  2 Ag 2.75
Bi (0.5000, 0.5000, 0.0000)  2 Ag 2.75

Values from the calculation:
Its total energy is -12.8 eV per cell. The calculation puts the formation energy at 1.09 eV/atom. As for the crystal system: cubic. As for the density of states at the Fermi level: 0.877 states/eV per atom. For the relative energy among the computed polymorphs, the calculation gives 542 meV/atom.

What is the formula in the eighth record? Be2Ag

Copy entry 3 word for word.
Compound: Be2Ag
Source: Alexandria
Functional: PBE
Structure: optimized geometry

Unit cell a=3.3603 b=3.3603 c=6.1406 alpha=90.00 beta=90.00 gamma=90.00
Closest atoms and distances in Å follow each position.
Sites, in units of the cell vectors:
Be (0.2500, 0.2500, 0.2479)  4 Be 2.27, 4 Ag 2.44
Be (0.2500, 0.7500, 0.0000)  8 Be 2.27-2.38
Be (0.7500, 0.2500, 0.0000)  8 Be 2.27-2.38
Be (0.7500, 0.7500, 0.7521)  4 Be 2.27, 4 Ag 2.44
Ag (0.2500, 0.2500, 0.6632)  9 Be 2.44-2.66
Ag (0.7500, 0.7500, 0.3368)  9 Be 2.44-2.66

Values from the calculation:
Its total energy is -19.1 eV per cell. The calculation puts the formation energy at 0.24 eV/atom. As for the crystal system: tetragonal. As for the density of states at the Fermi level: 0.352 states/eV per atom. For the relative energy among the computed polymorphs, the calculation gives 218 meV/atom.